DFT (PBE) results for Lu2HfAu after structural relaxation.

Geometry as POSCAR:
```
Lu2HfAu
1.0
3.3671 0.0000 0.0000
0.0000 3.3671 0.0000
0.0000 0.0000 8.3388
Au Lu Hf
1 2 1
Cartesian
1.6836 1.6836 0.0000 Au
0.0000 0.0000 6.4281 Lu
0.0000 0.0000 1.9107 Lu
1.6836 1.6836 4.1694 Hf
```

Calculated values
SG	P4/mmm, No. 123
energy relative to the elements	-36.89	kJ per mole of atoms